Run one
Here is a geometry-optimized SbO2F structure from Alexandria via LeMat-Bulk. Energies are from PBE.

Cell lengths 6.983, 6.983, 5.379 Å; angles 49.52, 49.52, 90.00 degrees
Fractional positions:
Sb: 0.000 0.000 0.000
Sb: 0.750 0.250 0.500
O: 0.770 0.125 0.250
O: 0.980 0.625 0.250
O: 0.375 0.230 0.750
O: 0.875 0.020 0.750
F: 0.500 0.500 0.000
F: 0.250 0.750 0.500

Calculated values
Space-group type: I-42d, No. 122

Run two
Here is a geometry-optimized SbO2F structure from Alexandria via LeMat-Bulk. Energies are from PBE.

Cell lengths 6.533, 6.533, 6.533 Å; angles 33.82, 33.82, 33.82 degrees
Site moments in Bohr magnetons follow the coordinates.
Fractional positions:
Sb: 0.000 0.000 0.000  -0.03
O: 0.899 0.899 0.899  0.05
O: 0.101 0.101 0.101  0.05
F: 0.500 0.500 0.500  0.38

Calculated values
Space-group type: R-3m, No. 166

Tell me which of them is the least stable. Sure, it is run two.

Run one
Here is a geometry-optimized SbO2F structure from Alexandria via LeMat-Bulk. Energies are from PBE.

Cell lengths 6.392, 6.392, 6.392 Å; angles 30.44, 30.44, 30.44 degrees
Site moments in Bohr magnetons follow the coordinates.
Fractional positions:
Sb: 0.500 0.500 0.500  0.00
O: 0.881 0.881 0.881  -0.07
O: 0.119 0.119 0.119  -0.07
F: 0.000 0.000 0.000  -0.51

Calculated values
Space-group type: R-3m, No. 166

Run two
Here is a geometry-optimized SbO2F structure from Alexandria via LeMat-Bulk. Energies are from PBE.

Cell lengths 4.959, 5.497, 8.707 Å; angles 90.00, 90.00, 90.00 degrees
Fractional positions:
Sb: 0.000 0.250 0.567
Sb: 0.000 0.750 0.433
Sb: 0.500 0.250 0.933
Sb: 0.500 0.750 0.067
O: 0.718 0.952 0.922
O: 0.282 0.048 0.078
O: 0.218 0.548 0.578
O: 0.782 0.452 0.422
O: 0.718 0.452 0.078
O: 0.282 0.548 0.922
O: 0.218 0.048 0.422
O: 0.782 0.952 0.578
F: 0.250 0.634 0.250
F: 0.750 0.366 0.750
F: 0.750 0.866 0.250
F: 0.250 0.134 0.750

Calculated values
Space-group type: Pnna, No. 52

Run three
Here is a geometry-optimized SbO2F structure from Alexandria via LeMat-Bulk. Energies are from PBE.

Cell lengths 5.272, 5.316, 5.272 Å; angles 117.00, 56.48, 117.00 degrees
Fractional positions:
Sb: 0.000 0.000 0.000
Sb: 0.500 0.500 0.500
O: 0.242 0.745 0.885
O: 0.615 0.755 0.258
O: 0.385 0.245 0.742
O: 0.758 0.255 0.115
F: 0.116 0.250 0.384
F: 0.884 0.750 0.616

Calculated values
Space-group type: C2/c, No. 15

Tell me which of them is the least stable. Sure, it is run one.

Run one
Here is a geometry-optimized Sb3O2F5 structure from Alexandria via LeMat-Bulk. Energies are from PBE.

Cell lengths 5.787, 6.752, 19.027 Å; angles 90.00, 90.00, 90.00 degrees
Fractional positions:
Sb: 0.126 0.530 0.597
Sb: 0.126 0.530 0.903
Sb: 0.318 0.958 0.750
Sb: 0.182 0.458 0.250
Sb: 0.374 0.030 0.097
Sb: 0.374 0.030 0.403
Sb: 0.626 0.970 0.903
Sb: 0.626 0.970 0.597
Sb: 0.818 0.542 0.750
Sb: 0.682 0.042 0.250
Sb: 0.874 0.470 0.403
Sb: 0.874 0.470 0.097
O: 0.004 0.309 0.175
O: 0.004 0.309 0.325
O: 0.496 0.809 0.825
O: 0.496 0.809 0.675
O: 0.504 0.191 0.175
O: 0.504 0.191 0.325
O: 0.996 0.691 0.675
O: 0.996 0.691 0.825
F: 0.086 0.350 0.750
F: 0.086 0.327 0.031
F: 0.086 0.327 0.469
F: 0.130 0.661 0.387
F: 0.130 0.661 0.113
F: 0.370 0.161 0.887
F: 0.370 0.161 0.613
F: 0.414 0.827 0.531
F: 0.414 0.827 0.969
F: 0.414 0.850 0.250
F: 0.586 0.150 0.750
F: 0.586 0.173 0.031
F: 0.586 0.173 0.469
F: 0.630 0.839 0.387
F: 0.630 0.839 0.113
F: 0.870 0.339 0.613
F: 0.870 0.339 0.887
F: 0.914 0.673 0.969
F: 0.914 0.673 0.531
F: 0.914 0.650 0.250

Calculated values
Space-group type: Pnma, No. 62

Run two
Here is a geometry-optimized Sb3O2F5 structure from Alexandria via LeMat-Bulk. Energies are from PBE.

Cell lengths 6.044, 9.508, 13.491 Å; angles 70.02, 90.00, 90.00 degrees
Fractional positions:
F: 0.713 0.911 0.451
F: 0.713 0.589 0.549
F: 0.287 0.089 0.549
F: 0.287 0.411 0.451
F: 0.859 0.778 0.647
F: 0.859 0.722 0.353
F: 0.141 0.222 0.353
F: 0.141 0.278 0.647
F: 0.777 0.058 0.655
F: 0.777 0.442 0.345
F: 0.223 0.942 0.345
F: 0.223 0.558 0.655
F: 0.453 0.009 0.798
F: 0.453 0.491 0.202
F: 0.547 0.991 0.202
F: 0.547 0.509 0.798
F: 0.206 0.731 0.859
F: 0.206 0.769 0.141
F: 0.794 0.269 0.141
F: 0.794 0.231 0.859
O: 0.744 0.784 0.838
O: 0.744 0.716 0.162
O: 0.256 0.216 0.162
O: 0.256 0.284 0.838
O: 0.844 0.919 0.992
O: 0.844 0.581 0.008
O: 0.156 0.081 0.008
O: 0.156 0.419 0.992
Sb: 0.935 0.750 0.500
Sb: 0.065 0.250 0.500
Sb: 0.565 0.891 0.709
Sb: 0.565 0.609 0.291
Sb: 0.435 0.109 0.291
Sb: 0.435 0.391 0.709
Sb: 0.628 0.750 0.000
Sb: 0.372 0.250 0.000
Sb: 0.958 0.592 0.862
Sb: 0.958 0.908 0.138
Sb: 0.042 0.408 0.138
Sb: 0.042 0.092 0.862

Calculated values
Space-group type: P2/c, No. 13

Tell me which of them is the least stable. Sure, it is run one.